# 1
CaTcAs2: optimized geometry, GGA-PBE.

Computed properties:
* E above lowest polymorph: 7 meV per atom
* total magnetic moment: 0.00 μB/f.u.
* crystal system: trigonal
* ΔE_f: -0.443 eV per atom

POSCAR file:
```
CaTcAs2
1.0
2.0181 1.1651 5.9831
-2.0181 1.1651 5.9831
0.0000 -2.3303 5.9831
Ca Tc As
1 1 2
direct
0.0000 0.0000 0.0000 Ca
0.8138 0.8138 0.8138 Tc
0.2249 0.2249 0.2249 As
0.4415 0.4415 0.4415 As
```

=====

# 2
Sm8DyHo2: optimized geometry, GGA-PBE.

Computed properties:
* E above lowest polymorph: 4 meV per atom
* total magnetic moment: 0.00 μB/f.u.
* crystal system: monoclinic
* ΔE_f: 0.171 eV per atom

POSCAR file:
```
Sm8DyHo2
1.0
8.3553 -3.3692 0.0000
8.3553 3.3692 0.0000
-1.1844 0.0000 6.5794
Sm Dy Ho
8 1 2
direct
0.0921 0.0921 0.9107 Sm
0.1503 0.6742 0.5952 Sm
0.2555 0.2555 0.6832 Sm
0.3258 0.8497 0.4048 Sm
0.6742 0.1503 0.5952 Sm
0.7445 0.7445 0.3168 Sm
0.8497 0.3258 0.4048 Sm
0.9079 0.9079 0.0893 Sm
0.5000 0.5000 0.0000 Dy
0.3010 0.3010 0.1951 Ho
0.6990 0.6990 0.8049 Ho
```

=====

# 3
CaScP2S8: optimized geometry, GGA-PBE.

Computed properties:
* uncorrected formation energy: -8.46 eV/f.u.
* total magnetic moment: 0.21 μB/f.u.
* crystal system: trigonal

POSCAR file:
```
CaScP2S8
1.0
5.9378 0.0000 0.0000
-2.9689 5.1423 0.0000
0.0000 0.0000 8.7101
Ca Sc P S
1 1 2 8
direct
0.0000 0.0000 0.0000 Ca
0.0000 0.0000 0.5000 Sc
0.3333 0.6667 0.7539 P
0.6667 0.3333 0.2461 P
0.0006 0.3292 0.6933 S
0.3292 0.3286 0.3067 S
0.3286 0.9994 0.6933 S
0.3333 0.6667 0.9883 S
0.6667 0.3333 0.0117 S
0.6714 0.0006 0.3067 S
0.6708 0.6714 0.6933 S
0.9994 0.6708 0.3067 S
```

=====

# 4
CeSm4: optimized geometry, GGA-PBE.

Computed properties:
* E above lowest polymorph: 0 meV per atom
* total magnetic moment: 1.27 μB/f.u.
* crystal system: tetragonal
* ΔE_f: 0.073 eV per atom

POSCAR file:
```
CeSm4
1.0
-4.0363 4.0363 2.5570
4.0363 -4.0363 2.5570
4.0363 4.0363 -2.5570
Ce Sm
1 4
direct
0.0000 0.0000 0.0000 Ce
0.2030 0.3992 0.6022 Sm
0.3992 0.7970 0.1962 Sm
0.6008 0.2030 0.8038 Sm
0.7970 0.6008 0.3978 Sm
```

=====

Number 1: total energy -5.86 eV per atom. Number 2: total energy -4.51 eV per atom. Number 3: total energy -5.05 eV per atom. Number 4: total energy -4.89 eV per atom.